CdCu2P: relaxed, PBE.

Output
**Total magnetic moment**: 0.000 μB/atom
**Distance to the lowest polymorph of the same formula**: 25 meV/atom
**Calculated total energy**: -3.489 eV per atom
**ΔE_f**: 13.52 kJ/mol of atoms
**Calculated volume**: 73.03 Å³/f.u.
**Theoretical density**: 6.15 g/cm3
**Space group**: I-42d (122)

a b c (Å): 4.410 4.410 15.019
angles (deg): 90.00 90.00 90.00
Fractional coordinates of all 16 atoms:
Cd1 0.000 0.000 0.000
Cd2 0.000 0.500 0.250
Cd3 0.500 0.000 0.750
Cd4 0.500 0.500 0.500
Cu1 0.125 0.250 0.625
Cu2 0.250 0.625 0.875
Cu3 0.250 0.875 0.375
Cu4 0.375 0.250 0.125
Cu5 0.625 0.750 0.125
Cu6 0.750 0.125 0.375
Cu7 0.750 0.375 0.875
Cu8 0.875 0.750 0.625
P1 0.000 0.000 0.500
P2 0.000 0.500 0.750
P3 0.500 0.000 0.250
P4 0.500 0.500 0.000

=====

CdCuP2: relaxed, PBE.

Output
**Total magnetic moment**: 0.000 μB/atom
**Calculated total energy**: -3.577 eV per atom
**ΔE_f**: 36.72 kJ/mol of atoms
**Calculated volume**: 69.23 Å³/f.u.
**Theoretical density**: 5.71 g/cm3
**Space group**: C2/m (12)

a b c (Å): 5.275 7.023 4.207
angles (deg): 90.00 117.32 90.00
Fractional coordinates of all 8 atoms:
Cd1 0.000 0.000 0.000
Cd2 0.500 0.500 0.000
Cu1 0.000 0.500 0.000
Cu2 0.500 0.000 0.000
P1 0.250 0.250 0.500
P2 0.250 0.750 0.500
P3 0.750 0.250 0.500
P4 0.750 0.750 0.500

=====

CdCuP4: relaxed, PBE.

Output
**Total magnetic moment**: 0.000 μB/atom
**Calculated total energy**: -3.843 eV per atom
**ΔE_f**: 57.81 kJ/mol of atoms
**Calculated volume**: 97.46 Å³/f.u.
**Theoretical density**: 5.11 g/cm3
**Space group**: F-43m (216)

a b c (Å): 5.166 5.166 5.166
angles (deg): 60.00 60.00 60.00
Fractional coordinates of all 6 atoms:
Cd1 0.000 0.000 0.000
Cu1 0.750 0.750 0.750
P1 0.378 0.378 0.378
P2 0.378 0.378 0.867
P3 0.378 0.867 0.378
P4 0.867 0.378 0.378

=====

CdCuP2: relaxed, PBE.

Output
**Total magnetic moment**: 0.000 μB/atom
**Calculated total energy**: -3.514 eV per atom
**ΔE_f**: 42.84 kJ/mol of atoms
**Calculated volume**: 66.78 Å³/f.u.
**Theoretical density**: 5.92 g/cm3
**Space group**: Cmmm (65)

a b c (Å): 5.267 7.124 3.559
angles (deg): 90.00 90.00 90.00
Fractional coordinates of all 8 atoms:
Cd1 0.000 0.000 0.000
Cd2 0.500 0.500 0.000
Cu1 0.000 0.500 0.000
Cu2 0.500 0.000 0.000
P1 0.250 0.250 0.500
P2 0.250 0.750 0.500
P3 0.750 0.250 0.500
P4 0.750 0.750 0.500

=====

CdCuP2: relaxed, PBE.

Output
**Total magnetic moment**: 0.000 μB/atom
**Calculated total energy**: -3.637 eV per atom
**ΔE_f**: 30.96 kJ/mol of atoms
**Calculated volume**: 77.69 Å³/f.u.
**Theoretical density**: 5.08 g/cm3
**Space group**: P4/mmm (123)

a b c (Å): 3.209 3.209 7.547
angles (deg): 90.00 90.00 90.00
Fractional coordinates of all 4 atoms:
Cd1 0.000 0.000 0.000
Cu1 0.000 0.000 0.500
P1 0.500 0.500 0.356
P2 0.500 0.500 0.644

=====

Cd2CuP: relaxed, PBE.

Output
**Total magnetic moment**: 0.000 μB/atom
**Calculated total energy**: -2.769 eV per atom
**ΔE_f**: 6.23 kJ/mol of atoms
**Calculated volume**: 77.21 Å³/f.u.
**Theoretical density**: 6.87 g/cm3
**Space group**: Pm (6)

a b c (Å): 4.150 4.041 4.840
angles (deg): 90.00 107.95 90.00
Fractional coordinates of all 4 atoms:
Cd1 0.000 0.000 0.000
Cd2 0.237 0.500 0.617
Cu1 0.698 0.000 0.431
P1 0.562 0.500 0.203

=====

Cd2CuP: relaxed, PBE.

Output
**Total magnetic moment**: 0.000 μB/atom
**Calculated total energy**: -2.421 eV per atom
**ΔE_f**: 39.81 kJ/mol of atoms
**Calculated volume**: 107.00 Å³/f.u.
**Theoretical density**: 4.96 g/cm3
**Space group**: I-42d (122)

a b c (Å): 5.723 5.723 13.066
angles (deg): 90.00 90.00 90.00
Fractional coordinates of all 16 atoms:
Cd1 0.224 0.250 0.125
Cd2 0.250 0.724 0.375
Cd3 0.250 0.776 0.875
Cd4 0.276 0.250 0.625
Cd5 0.724 0.750 0.625
Cd6 0.750 0.224 0.875
Cd7 0.750 0.276 0.375
Cd8 0.776 0.750 0.125
Cu1 0.000 0.000 0.500
Cu2 0.000 0.500 0.750
Cu3 0.500 0.000 0.250
Cu4 0.500 0.500 0.000
P1 0.000 0.000 0.000
P2 0.000 0.500 0.250
P3 0.500 0.000 0.750
P4 0.500 0.500 0.500

=====

Cd2CuP: relaxed, PBE.

Output
**Total magnetic moment**: 0.000 μB/atom
**Calculated total energy**: -2.599 eV per atom
**ΔE_f**: 22.65 kJ/mol of atoms
**Calculated volume**: 72.68 Å³/f.u.
**Theoretical density**: 7.30 g/cm3
**Space group**: P4/mmm (123)

a b c (Å): 3.638 3.638 5.490
angles (deg): 90.00 90.00 90.00
Fractional coordinates of all 4 atoms:
Cd1 0.000 0.000 0.248
Cd2 0.000 0.000 0.752
Cu1 0.500 0.500 0.000
P1 0.500 0.500 0.500

=====

CdCu2P: relaxed, PBE.

Output
**Total magnetic moment**: 0.000 μB/atom
**Distance to the lowest polymorph of the same formula**: 16 meV/atom
**Calculated total energy**: -3.498 eV per atom
**ΔE_f**: 12.70 kJ/mol of atoms
**Calculated volume**: 62.42 Å³/f.u.
**Theoretical density**: 7.20 g/cm3
**Space group**: P2/m (10)

a b c (Å): 3.088 3.961 5.102
angles (deg): 90.00 90.09 90.00
Fractional coordinates of all 4 atoms:
Cd1 0.000 0.000 0.000
Cu1 0.499 0.500 0.250
Cu2 0.501 0.500 0.750
P1 0.500 0.000 0.500

=====

CdCu2P: relaxed, PBE.

Output
**Total magnetic moment**: 0.000 μB/atom
**Distance to the lowest polymorph of the same formula**: 149 meV/atom
**Calculated total energy**: -3.365 eV per atom
**ΔE_f**: 25.51 kJ/mol of atoms
**Calculated volume**: 60.26 Å³/f.u.
**Theoretical density**: 7.45 g/cm3
**Space group**: Cmmm (65)

a b c (Å): 5.477 7.559 2.911
angles (deg): 90.00 90.00 90.00
Fractional coordinates of all 8 atoms:
Cd1 0.000 0.000 0.000
Cd2 0.500 0.500 0.000
Cu1 0.250 0.250 0.500
Cu2 0.250 0.750 0.500
Cu3 0.750 0.250 0.500
Cu4 0.750 0.750 0.500
P1 0.000 0.500 0.000
P2 0.500 0.000 0.000

=====

CdCuP2: relaxed, PBE.

Output
**Total magnetic moment**: 0.000 μB/atom
**Calculated total energy**: -3.458 eV per atom
**ΔE_f**: 48.20 kJ/mol of atoms
**Calculated volume**: 66.33 Å³/f.u.
**Theoretical density**: 5.96 g/cm3
**Space group**: I-4m2 (119)

a b c (Å): 3.885 3.885 8.789
angles (deg): 90.00 90.00 90.00
Fractional coordinates of all 8 atoms:
Cd1 0.000 0.000 0.000
Cd2 0.500 0.500 0.500
Cu1 0.000 0.500 0.750
Cu2 0.500 0.000 0.250
P1 0.000 0.000 0.500
P2 0.000 0.500 0.250
P3 0.500 0.000 0.750
P4 0.500 0.500 0.000

=====

Cd2Cu2P: relaxed, PBE.

Output
**Total magnetic moment**: 0.000 μB/atom
**Distance to the lowest polymorph of the same formula**: 229 meV/atom
**Calculated total energy**: -2.735 eV per atom
**ΔE_f**: 33.92 kJ/mol of atoms
**Calculated volume**: 87.88 Å³/f.u.
**Theoretical density**: 7.23 g/cm3
**Space group**: P4/mbm (127)

a b c (Å): 7.876 7.876 2.834
angles (deg): 90.00 90.00 90.00
Fractional coordinates of all 10 atoms:
Cd1 0.184 0.316 0.000
Cd2 0.316 0.816 0.000
Cd3 0.684 0.184 0.000
Cd4 0.816 0.684 0.000
Cu1 0.111 0.611 0.500
Cu2 0.389 0.111 0.500
Cu3 0.611 0.889 0.500
Cu4 0.889 0.389 0.500
P1 0.000 0.000 0.000
P2 0.500 0.500 0.000